(1)
Entry from the Alexandria database: an optimized crystal structure of Rb2BaTiI6 (PBE-GGA).

Cell and atoms, written as POSCAR:
```
Rb2BaTiI6
1.0
0.0000 6.2430 6.2430
6.2430 0.0000 6.2430
6.2430 6.2430 0.0000
Rb Ba Ti I
2 1 1 6
direct
0.2500 0.2500 0.2500
0.7500 0.7500 0.7500
0.0000 0.0000 0.0000
0.5000 0.5000 0.5000
0.2690 0.2690 0.7310
0.2690 0.7310 0.2690
0.2690 0.7310 0.7310
0.7310 0.2690 0.2690
0.7310 0.2690 0.7310
0.7310 0.7310 0.2690
```

symmetry	Fm-3m (225)
M_tot	2.0	μB per cell

=====

(2)
Entry from the Alexandria database: an optimized crystal structure of Li2GaAu2 (PBE-GGA).

Cell and atoms, written as POSCAR:
```
Li2GaAu2
1.0
-3.1647 5.3080 2.5538
3.1647 -5.3080 2.5538
3.1647 5.3080 -2.5538
Li Ga Au
4 2 4
direct
0.0958 0.1406 0.2364
0.4042 0.6406 0.0448
0.5958 0.3594 0.9552
0.9042 0.8594 0.7636
0.2500 0.7500 0.5000
0.7500 0.2500 0.5000
0.1676 0.7359 0.9035
0.3324 0.2359 0.5683
0.6676 0.7641 0.4317
0.8324 0.2641 0.0965
```

symmetry	Ibam (72)
energy above the lowest structure with this stoichiometry	3.300	kcal/mol of atoms
M_tot	0.0	μB per cell

=====

(3)
Entry from the Alexandria database: an optimized crystal structure of BeVSe (PBE-GGA).

Cell and atoms, written as POSCAR:
```
BeVSe
1.0
3.1123 0.0000 0.0000
0.0000 3.4147 0.0000
-1.2571 0.0000 8.9393
Be V Se
2 2 2
direct
0.0000 0.0000 0.0000
0.1355 0.0000 0.2310
0.4125 0.5000 0.8634
0.5992 0.5000 0.1258
0.1986 0.5000 0.3655
0.8592 0.0000 0.7398
```

symmetry	Pm (6)
energy above the lowest structure with this stoichiometry	1.987	kcal/mol of atoms
M_tot	0.0	μB per cell

=====

(4)
Entry from the Alexandria database: an optimized crystal structure of NaLa4In3 (PBE-GGA).

Cell and atoms, written as POSCAR:
```
NaLa4In3
1.0
-2.7680 2.7680 8.2335
2.7680 -2.7680 8.2335
2.7680 2.7680 -8.2335
Na La In
1 4 3
direct
0.0000 0.0000 0.0000
0.1294 0.6294 0.5000
0.3706 0.8706 0.5000
0.6294 0.1294 0.5000
0.8706 0.3706 0.5000
0.2469 0.2469 0.0000
0.5000 0.5000 0.0000
0.7531 0.7531 0.0000
```

symmetry	I4/mmm (139)
M_tot	0.0	μB per cell

=====

(5)
Entry from the Alexandria database: an optimized crystal structure of Ac2La3Au2 (PBE-GGA).

Cell and atoms, written as POSCAR:
```
Ac2La3Au2
1.0
6.5637 -2.0404 0.0000
6.5637 2.0404 0.0000
-4.1481 0.0000 8.9094
Ac La Au
2 3 2
direct
0.1579 0.1579 0.3089
0.8421 0.8421 0.6911
0.3841 0.3841 0.0540
0.5000 0.5000 0.5000
0.6159 0.6159 0.9460
0.1567 0.1567 0.7308
0.8433 0.8433 0.2692
```

symmetry	C2/m (12)
M_tot	0.0	μB per cell

=====

(6)
Entry from the Alexandria database: an optimized crystal structure of YTm3Rh4 (PBE-GGA).

Cell and atoms, written as POSCAR:
```
YTm3Rh4
1.0
2.3986 1.3848 7.8387
-2.3986 1.3848 7.8387
0.0000 -2.7697 7.8387
Y Tm Rh
1 3 4
direct
0.0000 0.0000 0.0000
0.2495 0.2495 0.2495
0.5000 0.5000 0.5000
0.7505 0.7505 0.7505
0.1259 0.1259 0.1259
0.3761 0.3761 0.3761
0.6239 0.6239 0.6239
0.8741 0.8741 0.8741
```

symmetry	R-3m (166)
M_tot	0.0	μB per cell

=====

(7)
Entry from the Alexandria database: an optimized crystal structure of LaZn5 (PBE-GGA).

Cell and atoms, written as POSCAR:
```
LaZn5
1.0
6.3966 -1.6835 0.0000
6.3966 1.6835 0.0000
-2.3342 0.0000 5.4837
La Zn
1 5
direct
0.0000 0.0000 0.0000
0.0737 0.0737 0.5584
0.2898 0.2898 0.7248
0.3944 0.3944 0.3963
0.7094 0.7094 0.3784
0.7149 0.7149 0.9559
```

symmetry	Cm (8)
energy above the lowest structure with this stoichiometry	5.387	kcal/mol of atoms
M_tot	0.0	μB per cell

=====

(8)
Entry from the Alexandria database: an optimized crystal structure of YOsCl2 (PBE-GGA).

Cell and atoms, written as POSCAR:
```
YOsCl2
1.0
1.6112 0.9302 10.6511
-1.6112 0.9302 10.6511
0.0000 -1.8605 10.6511
Y Os Cl
1 1 2
direct
0.0000 0.0000 0.0000
0.5000 0.5000 0.5000
0.2733 0.2733 0.2733
0.7267 0.7267 0.7267
```

symmetry	R-3m (166)
energy above the lowest structure with this stoichiometry	14.809	kcal/mol of atoms
M_tot	1.7	μB per cell

=====

(9)
Entry from the Alexandria database: an optimized crystal structure of Ac3Sm2NbN6 (PBE-GGA).

Cell and atoms, written as POSCAR:
```
Ac3Sm2NbN6
1.0
3.1225 -5.3997 0.0000
3.1225 5.3997 0.0000
-2.0639 0.0000 6.0352
Ac Sm Nb N
3 2 1 6
direct
0.0000 0.0000 0.0000
0.3337 0.6663 0.0000
0.6663 0.3337 0.0000
0.1671 0.8329 0.5000
0.8329 0.1671 0.5000
0.5000 0.5000 0.5000
0.1322 0.4300 0.2917
0.2708 0.2708 0.7187
0.4300 0.1322 0.2917
0.5700 0.8678 0.7083
0.7292 0.7292 0.2813
0.8678 0.5700 0.7083
```

symmetry	C2/m (12)
M_tot	0.0	μB per cell

=====

(10)
Entry from the Alexandria database: an optimized crystal structure of FeReRh (PBE-GGA).

Cell and atoms, written as POSCAR:
```
FeReRh
1.0
-1.3399 1.8826 4.0109
1.3399 -1.8826 4.0109
1.3399 1.8826 -4.0109
Fe Re Rh
1 1 1
direct
0.0000 0.0000 0.0000
0.3404 0.3404 0.0000
0.6684 0.6684 0.0000
```

symmetry	Imm2 (44)
energy above the lowest structure with this stoichiometry	0.000	kcal/mol of atoms
M_tot	1.8	μB per cell

=====

(11)
Entry from the Alexandria database: an optimized crystal structure of OsSCl2O (PBE-GGA).

Cell and atoms, written as POSCAR:
```
OsSCl2O
1.0
4.3234 0.0000 0.0000
0.0000 4.3234 0.0000
0.0000 0.0000 4.1401
Os S Cl O
1 1 2 1
direct
0.0000 0.0000 0.0000
0.5000 0.5000 0.0000
0.0000 0.5000 0.5000
0.5000 0.0000 0.5000
0.5000 0.5000 0.5000
```

symmetry	P4/mmm (123)
energy above the lowest structure with this stoichiometry	18.055	kcal/mol of atoms
M_tot	0.0	μB per cell

=====

(12)
Entry from the Alexandria database: an optimized crystal structure of TlSi5 (PBE-GGA).

Cell and atoms, written as POSCAR:
```
TlSi5
1.0
3.3068 0.0000 0.0000
0.0000 3.3068 0.0000
0.0000 0.0000 9.8795
Tl Si
1 5
direct
0.0000 0.0000 0.0000
0.0000 0.0000 0.3630
0.0000 0.0000 0.6370
0.5000 0.5000 0.2475
0.5000 0.5000 0.5000
0.5000 0.5000 0.7525
```

symmetry	P4/mmm (123)
energy above the lowest structure with this stoichiometry	0.127	kcal/mol of atoms
M_tot	0.0	μB per cell

=====

(13)
Entry from the Alexandria database: an optimized crystal structure of GdMgTlRu (PBE-GGA).

Cell and atoms, written as POSCAR:
```
GdMgTlRu
1.0
0.0000 3.4938 3.4938
3.4938 0.0000 3.4938
3.4938 3.4938 0.0000
Gd Mg Tl Ru
1 1 1 1
direct
0.0000 0.0000 0.0000
0.5000 0.5000 0.5000
0.7500 0.7500 0.7500
0.2500 0.2500 0.2500
```

symmetry	F-43m (216)
M_tot	7.0	μB per cell

=====

(14)
Entry from the Alexandria database: an optimized crystal structure of EuHgSe2 (PBE-GGA).

Cell and atoms, written as POSCAR:
```
EuHgSe2
1.0
2.3386 1.3502 7.8808
-2.3386 1.3502 7.8808
0.0000 -2.7004 7.8808
Eu Hg Se
1 1 2
direct
0.0000 0.0000 0.0000
0.5000 0.5000 0.5000
0.3947 0.3947 0.3947
0.6053 0.6053 0.6053
```

symmetry	R-3m (166)
M_tot	7.0	μB per cell

=====

no.,total energy (eV per cell)
1,-33.351
2,-30.093
3,-34.369
4,-32.106
5,-32.900
6,-56.824
7,-11.731
8,-21.116
9,-95.364
10,-28.271
11,-15.880
12,-26.713
13,-27.373
14,-21.703